[1]
An optimized crystal structure of CsScTeBr2, computed with PBE-GGA.

Properties
- Uncorrected formation energy: -7.38 eV/f.u.
- Uncorrected energy: -4.21 eV per atom
- ρ: 4438 kg/m3

Cell and atoms, written as POSCAR:
```
CsScTeBr2
1.0
-2.338 4.312 -2.610
-4.857 -2.695 -0.101
-1.365 2.273 4.978
Cs Br Sc Te
1 2 1 1
Direct
0.500 0.500 0.500
0.000 0.500 0.000
0.500 0.000 0.000
0.000 0.000 0.000
0.000 0.000 0.500
```

[2]
An optimized crystal structure of Zn6Ag4Au, computed with PBE-GGA.

Properties
- Density of states at the Fermi level: 2.66 states/eV/f.u.
- Uncorrected energy: -1.88 eV per atom
- ρ: 7706 kg/m3

Cell and atoms, written as POSCAR:
```
Zn6Ag4Au
1.0
6.681 0.043 0.064
-3.051 5.944 -0.064
-3.051 -2.245 5.505
Zn Ag Au
6 4 1
Direct
0.500 0.000 0.500
0.500 0.500 0.000
0.734 0.132 0.132
0.000 0.868 0.603
0.266 0.397 0.397
0.000 0.603 0.868
0.617 0.364 0.364
0.383 0.747 0.747
0.000 0.253 0.636
0.000 0.636 0.253
0.000 0.000 0.000
```

[3]
An optimized crystal structure of Ba2CrPb, computed with PBE-GGA.

Properties
- Density of states at the Fermi level: 3.60 states/eV/f.u.
- Uncorrected energy: -4.18 eV per atom
- ρ: 5960 kg/m3

Cell and atoms, written as POSCAR:
```
Ba2CrPb
1.0
6.855 -0.016 -0.102
3.044 6.142 0.102
-4.462 -3.851 3.502
Cr Ba Pb
1 2 1
Direct
0.446 0.446 0.000
0.027 0.027 0.000
0.732 0.232 0.500
0.296 0.796 0.500
```

[4]
An optimized crystal structure of Tb2Ag2RuO6, computed with PBE-GGA.

Properties
- Density of states at the Fermi level: 0.34 states/eV/f.u.
- Uncorrected formation energy: -19.68 eV/f.u.
- Uncorrected energy: -6.70 eV per atom
- ρ: 6423 kg/m3

Cell and atoms, written as POSCAR:
```
Tb2Ag2RuO6
1.0
-3.433 -0.658 4.737
0.254 -4.177 -4.142
3.953 -4.055 3.249
Ag O Ru Tb
2 6 1 2
Direct
0.851 0.149 0.000
0.149 0.851 0.000
0.664 0.664 0.651
0.741 0.052 0.330
0.259 0.948 0.670
0.336 0.336 0.349
0.052 0.741 0.330
0.948 0.259 0.670
0.000 0.000 0.500
0.336 0.664 0.500
0.664 0.336 0.500
```

[5]
An optimized crystal structure of La2Hg3, computed with PBE-GGA.

Properties
- Density of states at the Fermi level: 4.17 states/eV/f.u.
- Uncorrected energy: -2.62 eV per atom
- Polymorph energy (0 for the lowest one): 0.0000 eV/atom
- ρ: 10331 kg/m3

Cell and atoms, written as POSCAR:
```
La2Hg3
1.0
-0.771 -3.070 1.822
-0.756 -2.431 -4.416
15.062 -2.367 -1.275
La Hg
4 6
Direct
0.427 0.250 0.853
0.573 0.750 0.147
0.291 0.750 0.582
0.709 0.250 0.418
0.824 0.250 0.648
0.977 0.750 0.953
0.023 0.250 0.047
0.881 0.750 0.762
0.176 0.750 0.352
0.119 0.250 0.238
```

[6]
An optimized crystal structure of LiPtW2, computed with PBE-GGA.

Properties
- Density of states at the Fermi level: 3.38 states/eV/f.u.
- Uncorrected energy: -8.14 eV per atom
- Polymorph energy (0 for the lowest one): 0.2949 eV/atom
- ρ: 15819 kg/m3

Cell and atoms, written as POSCAR:
```
LiPtW2
1.0
-0.430 1.846 -1.952
-1.078 -1.930 -1.587
-7.305 1.550 3.076
W Pt Li
2 1 1
Direct
0.000 0.000 0.010
0.000 0.000 0.490
0.500 0.500 0.750
0.500 0.500 0.250
```

[7]
An optimized crystal structure of Hf2Nb2Co, computed with PBE-GGA.

Properties
- Density of states at the Fermi level: 6.40 states/eV/f.u.
- Uncorrected energy: -9.24 eV per atom
- ρ: 10431 kg/m3

Cell and atoms, written as POSCAR:
```
Hf2Nb2Co
1.0
6.483 0.000 0.000
0.000 6.483 0.000
0.000 0.000 4.558
Co Nb Hf
2 4 4
Direct
0.000 0.000 0.000
0.500 0.500 0.000
0.150 0.350 0.000
0.850 0.650 0.000
0.650 0.150 0.000
0.350 0.850 0.000
0.665 0.835 0.500
0.835 0.335 0.500
0.335 0.165 0.500
0.165 0.665 0.500
```

[8]
An optimized crystal structure of ScP5, computed with PBE-GGA.

Properties
- Density of states at the Fermi level: 3.71 states/eV/f.u.
- Uncorrected energy: -5.35 eV per atom
- ρ: 3554 kg/m3

Cell and atoms, written as POSCAR:
```
ScP5
1.0
-2.219 2.617 3.762
-4.592 2.082 -0.711
-4.065 -1.925 2.388
P Sc
5 1
Direct
0.619 0.143 0.619
0.143 0.619 0.619
0.250 0.250 0.250
0.619 0.619 0.143
0.619 0.619 0.619
0.000 0.000 0.000
```

[9]
An optimized crystal structure of Sr3Tm3ScSe8, computed with PBE-GGA.

Properties
- Density of states at the Fermi level: 3.94 states/eV/f.u.
- Uncorrected formation energy: -28.18 eV/f.u.
- Uncorrected energy: -5.39 eV per atom
- ρ: 5813 kg/m3

Cell and atoms, written as POSCAR:
```
Sr3Tm3ScSe8
1.0
8.190 0.000 0.000
-4.095 7.094 -0.025
0.000 -4.704 7.128
Se Sc Tm Sr
8 1 3 3
Direct
0.255 0.018 0.281
0.237 0.475 0.720
0.742 0.484 0.726
0.745 0.982 0.719
0.763 0.018 0.281
0.258 0.516 0.274
0.237 0.982 0.719
0.763 0.525 0.280
0.000 0.000 0.500
0.500 0.000 0.500
0.000 0.500 0.500
0.500 0.500 0.500
0.000 0.500 0.000
0.000 0.000 0.000
0.500 0.500 0.000
```

[10]
An optimized crystal structure of TaCI, computed with PBE-GGA.

Properties
- Density of states at the Fermi level: 0.66 states/eV/f.u.
- Uncorrected formation energy: 0.76 eV/f.u.
- Uncorrected energy: -7.29 eV per atom
- ρ: 6935 kg/m3

Cell and atoms, written as POSCAR:
```
TaCI
1.0
3.533 0.000 0.000
-1.766 3.061 0.000
-0.134 -1.005 7.083
Ta I C
1 1 1
Direct
0.112 0.477 0.895
0.188 0.600 0.266
0.767 0.792 0.838
```

[11]
An optimized crystal structure of SrFe2Pb, computed with PBE-GGA.

Properties
- Density of states at the Fermi level: 3.36 states/eV/f.u.
- Uncorrected energy: -5.39 eV per atom
- ρ: 7357 kg/m3

Cell and atoms, written as POSCAR:
```
SrFe2Pb
1.0
4.097 -0.005 0.007
2.054 3.545 0.007
2.040 1.174 6.319
Sr Pb Fe
1 1 2
Direct
0.267 0.267 0.199
0.462 0.462 0.613
0.052 0.052 0.845
0.719 0.719 0.843
```

[12]
An optimized crystal structure of Li2AgOsN, computed with PBE-GGA.

Properties
- Density of states at the Fermi level: 3.01 states/eV/f.u.
- Uncorrected formation energy: -0.59 eV/f.u.
- Uncorrected energy: -5.36 eV per atom
- ρ: 8400 kg/m3

Cell and atoms, written as POSCAR:
```
Li2AgOsN
1.0
-0.833 2.088 -3.435
-2.006 -3.256 -1.493
-3.244 1.281 1.565
N Li Ag Os
1 2 1 1
Direct
0.000 0.000 0.000
0.000 0.500 0.000
0.500 0.000 0.000
0.500 0.500 0.500
0.000 0.000 0.500
```

[13]
An optimized crystal structure of MgBS2, computed with PBE-GGA.

Properties
- Density of states at the Fermi level: 1.51 states/eV/f.u.
- Uncorrected formation energy: -1.46 eV/f.u.
- Uncorrected energy: -4.50 eV per atom
- Polymorph energy (0 for the lowest one): 0.0000 eV/atom
- ρ: 2081 kg/m3

Cell and atoms, written as POSCAR:
```
MgBS2
1.0
-2.249 6.125 0.776
-3.142 4.185 3.974
0.419 5.554 3.486
S B Mg
2 1 1
Direct
0.092 0.092 0.092
0.908 0.908 0.908
0.000 0.000 0.000
0.500 0.500 0.500
```

[14]
An optimized crystal structure of Sc3TcO, computed with PBE-GGA.

Properties
- Density of states at the Fermi level: 2.96 states/eV/f.u.
- Uncorrected formation energy: -6.29 eV/f.u.
- Uncorrected energy: -8.12 eV per atom
- Polymorph energy (0 for the lowest one): 0.0637 eV/atom
- ρ: 4975 kg/m3

Cell and atoms, written as POSCAR:
```
Sc3TcO
1.0
22.245 0.000 -2.716
0.000 5.603 0.000
-7.989 0.000 3.641
Sc O Tc
12 4 4
Direct
0.147 0.916 0.236
0.723 0.080 0.097
0.609 0.108 0.462
0.853 0.084 0.764
0.777 0.580 0.403
0.277 0.920 0.903
0.353 0.416 0.264
0.109 0.392 0.962
0.891 0.608 0.038
0.391 0.892 0.538
0.223 0.420 0.597
0.647 0.584 0.736
0.525 0.761 0.645
0.475 0.239 0.355
0.025 0.739 0.145
0.975 0.261 0.855
0.504 0.323 0.927
0.496 0.677 0.073
0.004 0.177 0.427
0.996 0.823 0.573
```

[15]
An optimized crystal structure of SbAs2Pb, computed with PBE-GGA.

Properties
- Density of states at the Fermi level: 2.65 states/eV/f.u.
- Uncorrected formation energy: 0.26 eV/f.u.
- Uncorrected energy: -4.22 eV per atom
- Polymorph energy (0 for the lowest one): 0.0315 eV/atom
- ρ: 7331 kg/m3

Cell and atoms, written as POSCAR:
```
SbAs2Pb
1.0
4.039 0.000 0.000
2.020 3.498 0.000
2.020 1.166 7.676
As Sb Pb
2 1 1
Direct
0.081 0.081 0.756
0.265 0.265 0.205
0.665 0.665 0.006
0.489 0.489 0.533
```

[16]
An optimized crystal structure of Rb3FeSe3, computed with PBE-GGA.

Properties
- Density of states at the Fermi level: 2.05 states/eV/f.u.
- Uncorrected formation energy: -6.13 eV/f.u.
- Uncorrected energy: -3.99 eV per atom
- ρ: 3543 kg/m3

Cell and atoms, written as POSCAR:
```
Rb3FeSe3
1.0
8.304 0.000 0.000
0.000 9.347 -1.053
0.000 -0.649 13.338
Fe Se Rb
4 12 12
Direct
0.078 0.832 0.456
0.422 0.832 0.956
0.578 0.168 0.044
0.922 0.168 0.544
0.436 0.064 0.884
0.564 0.936 0.116
0.938 0.642 0.352
0.438 0.358 0.148
0.562 0.642 0.852
0.347 0.757 0.480
0.064 0.064 0.384
0.062 0.358 0.648
0.847 0.243 0.020
0.936 0.936 0.616
0.153 0.757 0.980
0.653 0.243 0.520
0.769 0.606 0.081
0.731 0.606 0.581
0.779 0.303 0.285
0.838 0.914 0.872
0.162 0.086 0.128
0.721 0.303 0.785
0.269 0.394 0.419
0.279 0.697 0.215
0.662 0.914 0.372
0.231 0.394 0.919
0.221 0.697 0.715
0.338 0.086 0.628
```

[17]
An optimized crystal structure of HfTcNi, computed with PBE-GGA.

Properties
- Density of states at the Fermi level: 2.18 states/eV/f.u.
- Uncorrected energy: -8.96 eV per atom
- Polymorph energy (0 for the lowest one): 0.0867 eV/atom
- ρ: 12078 kg/m3

Cell and atoms, written as POSCAR:
```
HfTcNi
1.0
5.489 0.000 -0.016
0.000 4.113 0.000
-1.760 0.000 8.169
Ni Hf Tc
4 4 4
Direct
0.610 0.000 0.876
0.919 0.500 0.044
0.919 0.000 0.544
0.610 0.500 0.376
0.110 0.500 0.396
0.746 0.000 0.195
0.110 0.000 0.896
0.746 0.500 0.695
0.425 0.500 0.046
0.271 0.000 0.225
0.425 0.000 0.546
0.271 0.500 0.725
```

[18]
An optimized crystal structure of BaCa4Tl5, computed with PBE-GGA.

Properties
- Density of states at the Fermi level: 6.39 states/eV/f.u.
- Uncorrected energy: -2.61 eV per atom
- ρ: 7008 kg/m3

Cell and atoms, written as POSCAR:
```
BaCa4Tl5
1.0
3.973 0.000 0.000
0.000 3.973 0.000
0.000 0.000 19.806
Tl Ca Ba
5 4 1
Direct
0.500 0.500 0.692
0.500 0.500 0.120
0.500 0.500 0.308
0.500 0.500 0.500
0.500 0.500 0.880
0.000 0.000 0.404
0.000 0.000 0.596
0.000 0.000 0.213
0.000 0.000 0.787
0.000 0.000 0.000
```

[19]
An optimized crystal structure of TmHfTh, computed with PBE-GGA.

Properties
- Density of states at the Fermi level: 5.04 states/eV/f.u.
- Uncorrected energy: -7.09 eV per atom
- Polymorph energy (0 for the lowest one): 0.0811 eV/atom
- ρ: 11317 kg/m3

Cell and atoms, written as POSCAR:
```
TmHfTh
1.0
-2.072 -2.333 1.207
1.577 -0.505 -2.907
13.378 -7.454 8.557
Tm Hf Th
2 2 2
Direct
0.333 0.667 0.152
0.667 0.333 0.652
0.000 0.000 0.005
0.000 0.000 0.505
0.667 0.333 0.843
0.333 0.667 0.343
```

[20]
An optimized crystal structure of NdMn2S4, computed with PBE-GGA.

Properties
- Density of states at the Fermi level: 2.17 states/eV/f.u.
- Uncorrected formation energy: -7.52 eV/f.u.
- Uncorrected energy: -6.73 eV per atom
- ρ: 4640 kg/m3

Cell and atoms, written as POSCAR:
```
NdMn2S4
1.0
-0.306 -3.764 -0.083
0.610 1.714 6.002
-12.039 0.958 0.951
S Nd Mn
8 2 4
Direct
0.773 0.547 0.390
0.939 0.878 0.750
0.500 0.000 0.500
0.227 0.453 0.610
0.773 0.547 0.110
0.227 0.453 0.890
0.061 0.122 0.250
0.500 0.000 0.000
0.613 0.227 0.750
0.387 0.773 0.250
0.132 0.264 0.065
0.132 0.264 0.435
0.868 0.736 0.935
0.868 0.736 0.565
```

[21]
An optimized crystal structure of K2N2Cl, computed with PBE-GGA.

Properties
- Density of states at the Fermi level: 5.03 states/eV/f.u.
- Uncorrected formation energy: -3.82 eV/f.u.
- Uncorrected energy: -4.90 eV per atom
- Polymorph energy (0 for the lowest one): 0.0861 eV/atom
- ρ: 2045 kg/m3

Cell and atoms, written as POSCAR:
```
K2N2Cl
1.0
5.281 0.000 0.000
0.000 5.281 0.000
2.640 2.640 4.124
K N Cl
2 2 1
Direct
0.750 0.250 0.500
0.250 0.750 0.500
0.572 0.572 0.856
0.428 0.428 0.144
0.000 0.000 0.000
```

[22]
An optimized crystal structure of Ba2InCu2, computed with PBE-GGA.

Properties
- Density of states at the Fermi level: 2.90 states/eV/f.u.
- Uncorrected energy: -2.96 eV per atom
- ρ: 5864 kg/m3

Cell and atoms, written as POSCAR:
```
Ba2InCu2
1.0
-2.886 1.031 -2.125
1.881 -1.026 -3.052
-4.533 -9.683 -1.816
Ba Cu In
2 2 1
Direct
0.380 0.380 0.240
0.620 0.620 0.760
0.250 0.750 0.500
0.750 0.250 0.500
0.000 0.000 0.000
```

[23]
An optimized crystal structure of LiCeScIn, computed with PBE-GGA.

Properties
- Density of states at the Fermi level: 9.46 states/eV/f.u.
- Uncorrected energy: -4.36 eV per atom
- ρ: 5143 kg/m3

Cell and atoms, written as POSCAR:
```
LiCeScIn
1.0
5.194 0.000 0.000
2.597 4.498 0.000
2.597 1.499 4.241
Li Sc Ce In
1 1 1 1
Direct
0.250 0.250 0.250
0.500 0.500 0.500
0.000 0.000 0.000
0.750 0.750 0.750
```